(1)
PBE Ac8Cd3Co2, relaxed; calculated formation energy = -57 meV/atom; energy = -50.56 eV per cell; magnetization = 0.000 μB/f.u.
1.0
8.5603 -3.9660 0.0000
8.5603 3.9660 0.0000
-1.1566 0.0000 6.7533
Ac Cd Co
8 3 2
Direct
0.0850 0.0850 0.3019 Ac
0.1007 0.6018 0.1348 Ac
0.3108 0.3108 0.6072 Ac
0.3982 0.8993 0.8652 Ac
0.6018 0.1007 0.1348 Ac
0.6892 0.6892 0.3928 Ac
0.8993 0.3982 0.8652 Ac
0.9150 0.9150 0.6981 Ac
0.3274 0.6726 0.5000 Cd
0.5000 0.5000 0.0000 Cd
0.6726 0.3274 0.5000 Cd
0.2330 0.2330 0.1630 Co
0.7670 0.7670 0.8370 Co


(2)
PBE Ta2CuRu, relaxed; calculated formation energy = 103 meV/atom; energy = -36.66 eV per cell; magnetization = 0.323 μB/f.u.
1.0
0.0000 3.1506 3.1506
3.1506 0.0000 3.1506
3.1506 3.1506 0.0000
Ta Cu Ru
2 1 1
Direct
0.0000 0.0000 0.0000 Ta
0.2500 0.2500 0.2500 Ta
0.5000 0.5000 0.5000 Cu
0.7500 0.7500 0.7500 Ru


(3)
PBE LaPr4In2, relaxed; calculated formation energy = -86 meV/atom; energy = -60.25 eV per cell; magnetization = 0.000 μB/f.u.; energy relative to the lowest polymorph listed for this composition = 118 meV per atom
1.0
8.0170 0.0000 0.0000
0.0000 8.5648 0.0000
-1.5537 0.0000 6.6496
La Pr In
2 8 4
Direct
0.0000 0.0000 0.0000 La
0.0000 0.5000 0.5000 La
0.2038 0.2411 0.3191 Pr
0.2038 0.2589 0.8191 Pr
0.4366 0.5975 0.7444 Pr
0.4366 0.9025 0.2444 Pr
0.5634 0.0975 0.7556 Pr
0.5634 0.4025 0.2556 Pr
0.7962 0.7411 0.1809 Pr
0.7962 0.7589 0.6809 Pr
0.1637 0.6050 0.0562 In
0.1637 0.8950 0.5562 In
0.8363 0.1050 0.4438 In
0.8363 0.3950 0.9438 In